w | LiCdRe: relaxed, PBE-GGA.

Unit cell a=4.203 b=4.203 c=4.203 alpha=60.00 beta=60.00 gamma=60.00
Fractional positions:
1 Li 0.000 0.000 0.000
2 Cd 0.250 0.250 0.250
3 Re 0.750 0.750 0.750

Summary:
V = 53 Å³/f.u.
Total magnetic moment = 2.2 μB per formula unit
SG = F-43m, No. 216

x | LiCdRe: relaxed, PBE-GGA.

Unit cell a=2.774 b=2.774 c=7.363 alpha=90.00 beta=90.00 gamma=120.00
Fractional positions:
1 Li 0.000 0.000 0.000
2 Cd 0.333 0.667 0.660
3 Re 0.667 0.333 0.308

Summary:
V = 49 Å³/f.u.
Total magnetic moment = 0.0 μB per formula unit
SG = P3m1, No. 156

Stability verdict: x, ahead by 986 meV/atom

w | Li3Cd2Rh2: relaxed, PBE-GGA.

Unit cell a=4.472 b=2.785 c=9.528 alpha=90.00 beta=103.58 gamma=90.00
Fractional positions:
1 Li 0.000 0.000 0.000
2 Li 0.281 0.000 0.562
3 Li 0.719 0.000 0.438
4 Cd 0.416 0.500 0.832
5 Cd 0.584 0.500 0.168
6 Rh 0.140 0.000 0.279
7 Rh 0.860 0.000 0.721

Summary:
V = 115 Å³/f.u.
Total magnetic moment = 0.6 μB per formula unit
SG = P2/m, No. 10

x | Li3Cd2Rh2: relaxed, PBE-GGA.

Unit cell a=9.482 b=9.482 c=2.783 alpha=90.00 beta=90.00 gamma=152.98
Fractional positions:
1 Li 0.000 0.000 0.000
2 Li 0.290 0.710 0.000
3 Li 0.710 0.290 0.000
4 Cd 0.138 0.862 0.500
5 Cd 0.862 0.138 0.500
6 Rh 0.431 0.569 0.000
7 Rh 0.569 0.431 0.000

Summary:
V = 114 Å³/f.u.
Total magnetic moment = 0.0 μB per formula unit
SG = Cmmm, No. 65

Stability verdict: w, ahead by 7 meV/atom

w | Li4CdRh: relaxed, PBE-GGA.

Unit cell a=4.832 b=4.832 c=5.534 alpha=109.91 beta=109.91 gamma=51.33
Fractional positions:
1 Li 0.151 0.151 0.306
2 Li 0.174 0.174 0.855
3 Li 0.826 0.826 0.145
4 Li 0.849 0.849 0.694
5 Cd 0.500 0.500 0.500
6 Rh 0.500 0.500 0.000

Summary:
V = 93 Å³/f.u.
Total magnetic moment = 0.0 μB per formula unit
SG = C2/m, No. 12

x | Li4CdRh: relaxed, PBE-GGA.

Unit cell a=8.145 b=8.145 c=4.381 alpha=90.00 beta=90.00 gamma=140.63
Fractional positions:
1 Li 0.030 0.447 0.250
2 Li 0.178 0.263 0.252
3 Li 0.263 0.178 0.752
4 Li 0.447 0.030 0.750
5 Li 0.553 0.970 0.250
6 Li 0.737 0.822 0.248
7 Li 0.822 0.737 0.748
8 Li 0.970 0.553 0.750
9 Cd 0.378 0.622 0.750
10 Cd 0.622 0.378 0.250
11 Rh 0.126 0.874 0.250
12 Rh 0.874 0.126 0.750

Summary:
V = 92 Å³/f.u.
Total magnetic moment = 0.0 μB per formula unit
SG = C2/c, No. 15

Stability verdict: x, ahead by 5 meV/atom

w | LiCd3Rh: relaxed, PBE-GGA.

Unit cell a=5.172 b=5.172 c=5.172 alpha=90.00 beta=90.00 gamma=90.00
Fractional positions:
1 Li 0.000 0.000 0.000
2 Cd 0.000 0.500 0.500
3 Cd 0.500 0.000 0.500
4 Cd 0.500 0.500 0.000
5 Rh 0.500 0.500 0.500

Summary:
V = 138 Å³/f.u.
Total magnetic moment = 0.0 μB per formula unit
SG = Pm-3m, No. 221

x | LiCd3Rh: relaxed, PBE-GGA.

Unit cell a=4.746 b=5.697 c=7.232 alpha=100.51 beta=108.35 gamma=91.00
Fractional positions:
1 Li 0.146 0.447 0.219
2 Li 0.854 0.553 0.781
3 Cd 0.080 0.946 0.221
4 Cd 0.271 0.351 0.591
5 Cd 0.456 0.746 0.986
6 Cd 0.544 0.254 0.014
7 Cd 0.729 0.649 0.409
8 Cd 0.920 0.054 0.779
9 Rh 0.336 0.853 0.606
10 Rh 0.664 0.147 0.394

Summary:
V = 91 Å³/f.u.
Total magnetic moment = 0.0 μB per formula unit
SG = P-1, No. 2

y | LiCd3Rh: relaxed, PBE-GGA.

Unit cell a=4.749 b=4.749 c=9.791 alpha=99.67 beta=99.67 gamma=56.34
Fractional positions:
1 Li 0.000 0.000 0.000
2 Li 0.500 0.500 0.500
3 Cd 0.092 0.092 0.287
4 Cd 0.201 0.201 0.605
5 Cd 0.308 0.308 0.910
6 Cd 0.692 0.692 0.090
7 Cd 0.799 0.799 0.395
8 Cd 0.908 0.908 0.713
9 Rh 0.394 0.394 0.201
10 Rh 0.606 0.606 0.799

Summary:
V = 90 Å³/f.u.
Total magnetic moment = 0.0 μB per formula unit
SG = C2/m, No. 12

Stability verdict: x, ahead by 9 meV/atom